[1]
Below is crystalline PrNpIr2 at its relaxed geometry, with properties calculated at the PBE-GGA level.

a = 3.4494 Å, b = 3.4494 Å, c = 7.2072 Å
α = 90.00°, β = 90.00°, γ = 90.00°
Fractional coordinates of all 4 atoms:
Pr 0.0000 0.0000 0.0000
Np 0.0000 0.0000 0.5000
Ir 0.5000 0.5000 0.2863
Ir 0.5000 0.5000 0.7137

Formation enthalpy at 0 K = -0.37 eV/atom
Polymorph energy (0 for the lowest one) = 78 meV per atom
Crystal system = tetragonal
E_tot = -9.23 eV/atom

***

[2]
Below is crystalline La3Tb2Sm4 at its relaxed geometry, with properties calculated at the PBE-GGA level.

a = 3.6408 Å, b = 3.6408 Å, c = 27.3202 Å
α = 90.00°, β = 90.00°, γ = 120.00°
Fractional coordinates of all 9 atoms:
La 0.0000 0.0000 0.0000
La 0.0000 0.0000 0.3361
La 0.6667 0.3333 0.6695
Tb 0.6667 0.3333 0.1058
Tb 0.6667 0.3333 0.8866
Sm 0.0000 0.0000 0.5567
Sm 0.0000 0.0000 0.7830
Sm 0.6667 0.3333 0.2285
Sm 0.6667 0.3333 0.4511

Formation enthalpy at 0 K = 0.07 eV/atom
Polymorph energy (0 for the lowest one) = 51 meV per atom
Crystal system = trigonal
E_tot = -4.70 eV/atom

***

[3]
Below is crystalline KWAu2 at its relaxed geometry, with properties calculated at the PBE-GGA level.

a = 2.7732 Å, b = 4.0762 Å, c = 7.8014 Å
α = 90.00°, β = 90.00°, γ = 90.00°
Fractional coordinates of all 4 atoms:
K 0.0000 0.0000 0.0000
W 0.0000 0.0000 0.5000
Au 0.5000 0.5000 0.3168
Au 0.5000 0.5000 0.6832

Formation enthalpy at 0 K = 0.41 eV/atom
Polymorph energy (0 for the lowest one) = 30 meV per atom
Crystal system = orthorhombic
E_tot = -4.74 eV/atom